First-principles (PBE) data for a geometry-optimized NaLa2Cd structure, as listed in Alexandria.

Structure (CIF):
```
data_NaLa2Cd
_chemical_formula_sum 'Na4 La8 Cd4'
_cell_length_a 8.003
_cell_length_b 8.003
_cell_length_c 8.003
_cell_angle_alpha 90.00
_cell_angle_beta 90.00
_cell_angle_gamma 90.00
_space_group_name_H-M_alt 'P 1'
_space_group_IT_number 1
loop_
_space_group_symop_operation_xyz
'x,y,z'
loop_
_atom_site_label
_atom_site_type_symbol
_atom_site_fract_x
_atom_site_fract_y
_atom_site_fract_z
Na1 Na 0.000 0.000 0.000
Na2 Na 0.000 0.500 0.500
Na3 Na 0.500 0.000 0.500
Na4 Na 0.500 0.500 0.000
La1 La 0.250 0.250 0.250
La2 La 0.250 0.250 0.750
La3 La 0.250 0.750 0.250
La4 La 0.250 0.750 0.750
La5 La 0.750 0.250 0.250
La6 La 0.750 0.250 0.750
La7 La 0.750 0.750 0.250
La8 La 0.750 0.750 0.750
Cd1 Cd 0.000 0.000 0.500
Cd2 Cd 0.000 0.500 0.000
Cd3 Cd 0.500 0.000 0.000
Cd4 Cd 0.500 0.500 0.500
```

Results
calculated volume = 512.7 Å³/cell
M_tot = 0.002 μB/f.u.
energy above the most stable polymorph in this dataset = 21 meV per atom
total DFT energy (no corrections) = -48.70 eV for the cell shown
space-group type = Fm-3m, No. 225

First-principles (PBE) data for a geometry-optimized ZrFe2GeH structure, as listed in Alexandria.

Structure (CIF):
```
data_ZrFe2GeH
_chemical_formula_sum 'Zr2 Fe4 Ge2 H2'
_cell_length_a 5.375
_cell_length_b 5.375
_cell_length_c 7.164
_cell_angle_alpha 90.00
_cell_angle_beta 90.00
_cell_angle_gamma 143.19
_space_group_name_H-M_alt 'P 1'
_space_group_IT_number 1
loop_
_space_group_symop_operation_xyz
'x,y,z'
loop_
_atom_site_label
_atom_site_type_symbol
_atom_site_fract_x
_atom_site_fract_y
_atom_site_fract_z
Zr1 Zr 0.044 0.956 0.750
Zr2 Zr 0.956 0.044 0.250
Fe1 Fe 0.344 0.656 0.552
Fe2 Fe 0.344 0.656 0.948
Fe3 Fe 0.656 0.344 0.052
Fe4 Fe 0.656 0.344 0.448
Ge1 Ge 0.237 0.763 0.250
Ge2 Ge 0.763 0.237 0.750
H1 H 0.500 0.500 0.000
H2 H 0.500 0.500 0.500
```

Results
calculated volume = 124.0 Å³/cell
M_tot = 2.939 μB/f.u.
energy above the most stable polymorph in this dataset = 0 meV per atom
total DFT energy (no corrections) = -69.88 eV for the cell shown
space-group type = Cmcm, No. 63

First-principles (PBE) data for a geometry-optimized Tb2RuCl structure, as listed in Alexandria.

Structure (CIF):
```
data_Tb2RuCl
_chemical_formula_sum 'Tb6 Ru3 Cl3'
_cell_length_a 3.944
_cell_length_b 3.944
_cell_length_c 22.351
_cell_angle_alpha 90.00
_cell_angle_beta 90.00
_cell_angle_gamma 120.00
_space_group_name_H-M_alt 'P 1'
_space_group_IT_number 1
loop_
_space_group_symop_operation_xyz
'x,y,z'
loop_
_atom_site_label
_atom_site_type_symbol
_atom_site_fract_x
_atom_site_fract_y
_atom_site_fract_z
Tb1 Tb 0.000 0.000 0.235
Tb2 Tb 0.000 0.000 0.765
Tb3 Tb 0.333 0.667 0.432
Tb4 Tb 0.333 0.667 0.901
Tb5 Tb 0.667 0.333 0.099
Tb6 Tb 0.667 0.333 0.568
Ru1 Ru 0.000 0.000 0.500
Ru2 Ru 0.333 0.667 0.167
Ru3 Ru 0.667 0.333 0.833
Cl1 Cl 0.000 0.000 0.000
Cl2 Cl 0.333 0.667 0.667
Cl3 Cl 0.667 0.333 0.333
```

Results
calculated volume = 301.1 Å³/cell
uncorrected formation energy = -865.1 meV/atom
M_tot = 0.000 μB/f.u.
energy above the most stable polymorph in this dataset = 100 meV per atom
total DFT energy (no corrections) = -71.53 eV for the cell shown
space-group type = R-3m, No. 166

First-principles (PBE) data for a geometry-optimized FeTeRhI2 structure, as listed in Alexandria.

Structure (CIF):
```
data_FeTeRhI2
_chemical_formula_sum 'Fe1 Te1 Rh1 I2'
_cell_length_a 5.451
_cell_length_b 5.451
_cell_length_c 5.161
_cell_angle_alpha 90.00
_cell_angle_beta 90.00
_cell_angle_gamma 90.00
_space_group_name_H-M_alt 'P 1'
_space_group_IT_number 1
loop_
_space_group_symop_operation_xyz
'x,y,z'
loop_
_atom_site_label
_atom_site_type_symbol
_atom_site_fract_x
_atom_site_fract_y
_atom_site_fract_z
Fe1 Fe 0.000 0.000 0.000
Te1 Te 0.500 0.500 0.000
Rh1 Rh 0.500 0.500 0.500
I1 I 0.000 0.500 0.500
I2 I 0.500 0.000 0.500
```

Results
calculated volume = 153.3 Å³/cell
uncorrected formation energy = 735.9 meV/atom
M_tot = 3.932 μB/f.u.
energy above the most stable polymorph in this dataset = 0 meV per atom
total DFT energy (no corrections) = -18.38 eV for the cell shown
space-group type = P4/mmm, No. 123

First-principles (PBE) data for a geometry-optimized ReP4Ru structure, as listed in Alexandria.

Structure (CIF):
```
data_ReP4Ru
_chemical_formula_sum 'Re1 P4 Ru1'
_cell_length_a 4.863
_cell_length_b 4.863
_cell_length_c 4.863
_cell_angle_alpha 60.00
_cell_angle_beta 60.00
_cell_angle_gamma 60.00
_space_group_name_H-M_alt 'P 1'
_space_group_IT_number 1
loop_
_space_group_symop_operation_xyz
'x,y,z'
loop_
_atom_site_label
_atom_site_type_symbol
_atom_site_fract_x
_atom_site_fract_y
_atom_site_fract_z
Re1 Re 0.000 0.000 0.000
P1 P 0.375 0.375 0.375
P2 P 0.375 0.375 0.875
P3 P 0.375 0.875 0.375
P4 P 0.875 0.375 0.375
Ru1 Ru 0.750 0.750 0.750
```

Results
calculated volume = 81.3 Å³/cell
M_tot = 0.003 μB/f.u.
total DFT energy (no corrections) = -37.72 eV for the cell shown
space-group type = F-43m, No. 216

First-principles (PBE) data for a geometry-optimized GaAg2F2 structure, as listed in Alexandria.

Structure (CIF):
```
data_GaAg2F2
_chemical_formula_sum 'Ga2 Ag4 F4'
_cell_length_a 7.048
_cell_length_b 7.048
_cell_length_c 3.106
_cell_angle_alpha 90.00
_cell_angle_beta 90.00
_cell_angle_gamma 90.00
_space_group_name_H-M_alt 'P 1'
_space_group_IT_number 1
loop_
_space_group_symop_operation_xyz
'x,y,z'
loop_
_atom_site_label
_atom_site_type_symbol
_atom_site_fract_x
_atom_site_fract_y
_atom_site_fract_z
Ga1 Ga 0.000 0.000 0.000
Ga2 Ga 0.500 0.500 0.000
Ag1 Ag 0.152 0.348 0.500
Ag2 Ag 0.348 0.848 0.500
Ag3 Ag 0.652 0.152 0.500
Ag4 Ag 0.848 0.652 0.500
F1 F 0.147 0.647 0.000
F2 F 0.353 0.147 0.000
F3 F 0.647 0.853 0.000
F4 F 0.853 0.353 0.000
```

Results
calculated volume = 154.3 Å³/cell
uncorrected formation energy = -759.5 meV/atom
M_tot = 0.000 μB/f.u.
energy above the most stable polymorph in this dataset = 0 meV per atom
total DFT energy (no corrections) = -32.54 eV for the cell shown
space-group type = P4/mbm, No. 127

First-principles (PBE) data for a geometry-optimized Bi6Pd3Rh structure, as listed in Alexandria.

Structure (CIF):
```
data_Bi6Pd3Rh
_chemical_formula_sum 'Bi12 Pd6 Rh2'
_cell_length_a 7.484
_cell_length_b 6.705
_cell_length_c 12.188
_cell_angle_alpha 90.00
_cell_angle_beta 126.87
_cell_angle_gamma 90.00
_space_group_name_H-M_alt 'P 1'
_space_group_IT_number 1
loop_
_space_group_symop_operation_xyz
'x,y,z'
loop_
_atom_site_label
_atom_site_type_symbol
_atom_site_fract_x
_atom_site_fract_y
_atom_site_fract_z
Bi1 Bi 0.077 0.034 0.255
Bi2 Bi 0.077 0.466 0.755
Bi3 Bi 0.256 0.142 0.589
Bi4 Bi 0.256 0.358 0.089
Bi5 Bi 0.412 0.650 0.579
Bi6 Bi 0.412 0.850 0.079
Bi7 Bi 0.588 0.150 0.921
Bi8 Bi 0.588 0.350 0.421
Bi9 Bi 0.744 0.642 0.911
Bi10 Bi 0.744 0.858 0.411
Bi11 Bi 0.923 0.534 0.245
Bi12 Bi 0.923 0.966 0.745
Pd1 Pd 0.000 0.000 0.000
Pd2 Pd 0.000 0.500 0.500
Pd3 Pd 0.295 0.681 0.261
Pd4 Pd 0.295 0.819 0.761
Pd5 Pd 0.705 0.181 0.239
Pd6 Pd 0.705 0.319 0.739
Rh1 Rh 0.500 0.000 0.500
Rh2 Rh 0.500 0.500 0.000
```

Results
calculated volume = 489.3 Å³/cell
M_tot = 0.000 μB/f.u.
total DFT energy (no corrections) = -96.44 eV for the cell shown
space-group type = P2_1/c, No. 14

First-principles (PBE) data for a geometry-optimized SiPb2Se structure, as listed in Alexandria.

Structure (CIF):
```
data_SiPb2Se
_chemical_formula_sum 'Si1 Pb2 Se1'
_cell_length_a 5.265
_cell_length_b 5.265
_cell_length_c 3.658
_cell_angle_alpha 90.00
_cell_angle_beta 90.00
_cell_angle_gamma 90.00
_space_group_name_H-M_alt 'P 1'
_space_group_IT_number 1
loop_
_space_group_symop_operation_xyz
'x,y,z'
loop_
_atom_site_label
_atom_site_type_symbol
_atom_site_fract_x
_atom_site_fract_y
_atom_site_fract_z
Si1 Si 0.000 0.000 0.000
Pb1 Pb 0.000 0.500 0.500
Pb2 Pb 0.500 0.000 0.500
Se1 Se 0.500 0.500 0.000
```

Results
calculated volume = 101.4 Å³/cell
uncorrected formation energy = 178.3 meV/atom
M_tot = 0.000 μB/f.u.
energy above the most stable polymorph in this dataset = 127 meV per atom
total DFT energy (no corrections) = -15.61 eV for the cell shown
space-group type = P4/mmm, No. 123